No. 1
{
  "formula": "Ba6PtSe2I3",
  "functional": "PBE-GGA",
  "state": "relaxed",
  "cell": [[4.176, -7.228, 0.000], [4.176, 7.228, 0.000], [-2.780, 0.000, 8.342]],
  "species": ["Ba", "Ba", "Ba", "Ba", "Ba", "Ba", "Pt", "Se", "Se", "I", "I", "I"],
  "frac_coords": [[0.068, 0.386, 0.204], [0.251, 0.251, 0.793], [0.386, 0.068, 0.204], [0.614, 0.932, 0.796], [0.749, 0.749, 0.207], [0.932, 0.614, 0.796], [0.000, 0.000, 0.000], [0.334, 0.666, 0.000], [0.666, 0.334, 0.000], [0.173, 0.827, 0.500], [0.500, 0.500, 0.500], [0.827, 0.173, 0.500]],
  "formation_energy_uncorrected_mev_per_atom": -1505,
  "magnetic_moment_mub_per_fu": 2.99
}



No. 2
{
  "formula": "ScRu2Rh",
  "functional": "PBE-GGA",
  "state": "relaxed",
  "cell": [[2.791, 0.000, 0.000], [0.000, 3.921, 0.000], [0.000, 0.000, 5.646]],
  "species": ["Sc", "Ru", "Ru", "Rh"],
  "frac_coords": [[0.000, 0.000, 0.000], [0.500, 0.500, 0.271], [0.500, 0.500, 0.729], [0.000, 0.000, 0.500]],
  "ef_mev_per_atom": -76.2,
  "magnetic_moment_mub_per_fu": 0.00
}



No. 3
{
  "formula": "KEuInHg",
  "functional": "PBE-GGA",
  "state": "relaxed",
  "cell": [[0.000, 4.026, 4.026], [4.026, 0.000, 4.026], [4.026, 4.026, 0.000]],
  "species": ["K", "Eu", "In", "Hg"],
  "frac_coords": [[0.000, 0.000, 0.000], [0.500, 0.500, 0.500], [0.750, 0.750, 0.750], [0.250, 0.250, 0.250]],
  "ef_mev_per_atom": -197.5,
  "magnetic_moment_mub_per_fu": 7.41
}



No. 4
{
  "formula": "ZrIn2Os",
  "functional": "PBE-GGA",
  "state": "relaxed",
  "cell": [[2.865, -4.418, 0.000], [2.865, 4.418, 0.000], [0.000, 0.000, 3.119]],
  "species": ["Zr", "In", "In", "Os"],
  "frac_coords": [[0.000, 0.000, 0.000], [0.000, 0.500, 0.500], [0.500, 0.000, 0.500], [0.500, 0.500, 0.000]],
  "ef_mev_per_atom": 266.8,
  "magnetic_moment_mub_per_fu": 0.00
}



Question: Number 4 is which compound?
Answer: ZrIn2Os